Entry from Alexandria: crystalline Pm5MgPd3 at its relaxed geometry (PBE).

Cell: 7.004 8.762 8.757 Å, 120.02 90.00 90.00°
Positions (direct):
1 Pm 0.250 0.693 0.000
2 Pm 0.000 0.333 0.667
3 Pm 0.750 0.000 0.308
4 Pm 0.750 0.307 0.000
5 Pm 0.750 0.692 0.692
6 Pm 0.250 0.000 0.692
7 Pm 0.000 0.667 0.333
8 Pm 0.500 0.333 0.667
9 Pm 0.250 0.308 0.308
10 Pm 0.500 0.667 0.333
11 Mg 0.000 0.000 0.000
12 Mg 0.500 0.000 0.000
13 Pd 0.250 0.000 0.360
14 Pd 0.250 0.360 0.000
15 Pd 0.250 0.640 0.640
16 Pd 0.750 0.000 0.640
17 Pd 0.750 0.640 0.000
18 Pd 0.750 0.360 0.360

Summary:
- symmetry = P6_3/mcm, No. 193
- theoretical density (g/cm³) = 7.6
- calculated formation energy (eV per atom) = -0.417
- DOS at the Fermi energy (states/eV/f.u.) = 10.3

***

Entry from Alexandria: crystalline BaMn2Al at its relaxed geometry (PBE).

Cell: 6.166 6.166 6.166 Å, 150.17 128.91 60.30°
Each line ends with the local moment (μB).
Positions (direct):
1 Mn 0.959 0.959 0.000  3.80
2 Mn 0.743 0.243 0.500  3.29
3 Ba 0.256 0.756 0.500  -0.11
4 Al 0.542 0.542 0.000  -0.05

Summary:
- symmetry = Imm2, No. 44
- theoretical density (g/cm³) = 5.1
- calculated formation energy (eV per atom) = 0.624
- DOS at the Fermi energy (states/eV/f.u.) = 4.2

***

Entry from Alexandria: crystalline BHI3 at its relaxed geometry (PBE).

Cell: 5.172 5.172 5.172 Å, 90.00 90.00 90.00°
Each line ends with the local moment (μB).
Positions (direct):
1 I 0.000 0.500 0.000  0.03
2 I 0.000 0.000 0.500  0.00
3 I 0.500 0.000 0.000  0.02
4 H 0.500 0.500 0.500  0.36
5 B 0.000 0.000 0.000  -0.08

Summary:
- symmetry = Pm-3m, No. 221
- theoretical density (g/cm³) = 4.7
- DOS at the Fermi energy (states/eV/f.u.) = 3.8
- calculated total energy (eV per atom) = -1.876

***

Entry from Alexandria: crystalline GdScSiNi at its relaxed geometry (PBE).

Cell: 4.759 4.759 4.759 Å, 60.00 60.00 60.00°
Each line ends with the local moment (μB).
Positions (direct):
1 Gd 0.000 0.000 0.000  6.99
2 Sc 0.500 0.500 0.500  0.00
3 Ni 0.750 0.750 0.750  -0.01
4 Si 0.250 0.250 0.250  -0.03

Summary:
- symmetry = F-43m, No. 216
- theoretical density (g/cm³) = 6.3
- DOS at the Fermi energy (states/eV/f.u.) = 1.5
- calculated total energy (eV per atom) = -8.385

***

Entry from Alexandria: crystalline YPaGa2 at its relaxed geometry (PBE).

Cell: 3.435 3.435 9.497 Å, 79.58 79.58 60.00°
Positions (direct):
1 Pa 0.000 0.000 0.000
2 Y 0.500 0.500 0.500
3 Ga 0.751 0.751 0.746
4 Ga 0.249 0.249 0.254

Summary:
- symmetry = R-3m, No. 166
- theoretical density (g/cm³) = 8.0
- calculated formation energy (eV per atom) = -0.213
- DOS at the Fermi energy (states/eV/f.u.) = 5.4

***

Entry from Alexandria: crystalline Mn2HI at its relaxed geometry (PBE).

Cell: 4.137 4.137 4.137 Å, 60.00 60.00 60.00°
Each line ends with the local moment (μB).
Positions (direct):
1 Mn 0.750 0.750 0.750  0.94
2 Mn 0.250 0.250 0.250  0.94
3 H 0.000 0.000 0.000  -0.02
4 I 0.500 0.500 0.500  -0.06

Summary:
- symmetry = Fm-3m, No. 225
- theoretical density (g/cm³) = 7.9
- DOS at the Fermi energy (states/eV/f.u.) = 5.7
- calculated total energy (eV per atom) = -4.642

***

Q: Which formula does entry 1 have?
A: Pm5MgPd3

***

Q: theoretical density of number 4 (GdScSiNi)?
A: 6.3 g/cm³

***

Repeat the third record exactly.
Entry from Alexandria: crystalline BHI3 at its relaxed geometry (PBE).

Cell: 5.172 5.172 5.172 Å, 90.00 90.00 90.00°
Each line ends with the local moment (μB).
Positions (direct):
1 I 0.000 0.500 0.000  0.03
2 I 0.000 0.000 0.500  0.00
3 I 0.500 0.000 0.000  0.02
4 H 0.500 0.500 0.500  0.36
5 B 0.000 0.000 0.000  -0.08

Summary:
- symmetry = Pm-3m, No. 221
- theoretical density (g/cm³) = 4.7
- DOS at the Fermi energy (states/eV/f.u.) = 3.8
- calculated total energy (eV per atom) = -1.876